# PBE PuTlPb, relaxed
data_PuTlPb
_symmetry_space_group_name_H-M 'P 1'
_symmetry_Int_Tables_number 1
_symmetry_space_group_name_Hall 'P 1'
_cell_length_a 5.2289
_cell_length_b 5.2289
_cell_length_c 5.2289
_cell_angle_alpha 60.00
_cell_angle_beta 60.00
_cell_angle_gamma 60.00
loop_
_atom_site_label
_atom_site_fract_x
_atom_site_fract_y
_atom_site_fract_z
Pb1 0.7500 0.7500 0.7500
Pu1 0.5000 0.5000 0.5000
Tl1 0.2500 0.2500 0.2500
# Symmetry   F-43m, No. 216
# Polymorph energy (0 for the lowest one)   5 meV/atom
# Magnetization   1.8104 μB/atom